No. 1
Below is an optimized crystal structure of UZn11Ag, with properties calculated at the GGA-PBE level.

Cell: 5.293 6.875 6.833 Å, 81.38 67.21 67.22°
Each line ends with the local moment (μB).
Atoms (fractional coordinates):
Zn 0.351 0.649 0.643  0.00
Zn 0.994 0.649 0.357  0.00
U 0.000 0.000 0.000  2.48
Zn 0.649 0.351 0.357  0.00
Zn 0.496 0.213 0.782  0.00
Zn 0.504 0.787 0.218  0.00
Zn 0.000 0.000 0.500  -0.01
Zn 0.278 0.213 0.218  0.00
Zn 0.722 0.787 0.782  0.00
Zn 0.500 0.000 0.500  -0.01
Ag 0.500 0.500 0.000  0.01
Zn 0.006 0.351 0.643  0.00
Zn 0.000 0.500 0.000  0.00

SG: C2/m (12)
Mass density (g/cm³): 8.4
E_form (eV per atom): -0.014

No. 2
Below is an optimized crystal structure of UZn4Ag, with properties calculated at the GGA-PBE level.

Cell: 5.351 5.351 5.351 Å, 60.00 60.00 60.00°
Each line ends with the local moment (μB).
Atoms (fractional coordinates):
Zn 0.625 0.625 0.625  0.03
Zn 0.125 0.625 0.625  0.03
Zn 0.625 0.125 0.625  0.03
U 0.000 0.000 0.000  2.63
Zn 0.625 0.625 0.125  0.03
Ag 0.250 0.250 0.250  0.04

SG: F-43m (216)
Mass density (g/cm³): 9.3
E_form (eV per atom): 0.165

No. 3
Below is an optimized crystal structure of UZn17Ag, with properties calculated at the GGA-PBE level.

Cell: 6.813 6.813 6.813 Å, 81.88 81.88 81.88°
Each line ends with the local moment (μB).
Atoms (fractional coordinates):
Zn 0.681 0.005 0.299  0.01
Zn 0.681 0.299 0.005  0.01
Zn 0.299 0.681 0.005  0.01
Zn 0.346 0.346 0.843  0.00
U 0.661 0.661 0.661  2.47
Zn 0.843 0.346 0.346  0.00
Ag 0.408 0.408 0.408  0.01
Zn 0.497 0.986 0.986  0.00
Zn 0.899 0.899 0.899  0.00
Zn 0.157 0.651 0.651  0.00
Zn 0.005 0.681 0.299  0.01
Zn 0.651 0.157 0.651  0.00
Zn 0.099 0.099 0.099  0.00
Zn 0.986 0.986 0.497  0.00
Zn 0.005 0.299 0.681  0.01
Zn 0.346 0.843 0.346  0.00
Zn 0.299 0.005 0.681  0.01
Zn 0.986 0.497 0.986  0.00
Zn 0.651 0.651 0.157  0.00

SG: R3m (160)
Mass density (g/cm³): 7.9
E_form (eV per atom): -0.003

| no. | calculated total energy (eV for the cell shown) | total magnetization (μB per cell) |
| --- | --- | --- |
| 1 | -28.33 | 2.73 |
| 2 | -18.24 | 3.17 |
| 3 | -35.84 | 2.81 |